# 1
First-principles (PBE) data for crystalline CaLaGa2Co at its relaxed geometry, as listed in Alexandria via LeMat-Bulk.

Geometry as extended XYZ:
```
5
Lattice="-1.5407 2.4089 -3.9449 -4.3715 0.5915 2.0685 1.5148 4.2304 1.9916" Properties=species:S:1:pos:R:3 pbc="T T T"
Ca -2.1987 3.6154 0.0576
Ga -2.1858 0.2958 1.0343
Ga -0.7704 1.2044 -1.9725
Co 0.0000 0.0000 0.0000
La 0.7574 2.1152 0.9958
```

formation enthalpy at 0 K	-294.7	meV/atom
volume	23.34	Å³ per atom
size of the total moment	0.000	μB per atom

# 2
First-principles (PBE) data for crystalline LiCa2GaCo at its relaxed geometry, as listed in Alexandria via LeMat-Bulk.

Geometry as extended XYZ:
```
5
Lattice="5.3128 0.0000 0.0000 0.0000 5.3128 0.0000 0.0000 0.0000 4.6260" Properties=species:S:1:pos:R:3 pbc="T T T"
Ga 0.0000 0.0000 2.3130
Ca 2.6564 0.0000 0.0000
Ca 0.0000 2.6564 0.0000
Co 0.0000 0.0000 0.0000
Li 2.6564 2.6564 2.3130
```

formation enthalpy at 0 K	-22.9	meV/atom
volume	26.11	Å³ per atom
size of the total moment	0.000	μB per atom

# 3
First-principles (PBE) data for crystalline LiCa2Ga5Co2 at its relaxed geometry, as listed in Alexandria via LeMat-Bulk.

Geometry as extended XYZ:
```
20
Lattice="3.6104 0.0000 0.0000 0.0000 9.8664 0.0000 0.0000 0.0000 9.8664" Properties=species:S:1:pos:R:3 pbc="T T T"
Ga 1.8052 5.5240 7.0082
Ga 1.8052 4.9332 0.0000
Ga 1.8052 2.8582 5.5240
Ga 1.8052 7.7915 9.2756
Ga 1.8052 2.0750 0.5908
Ga 1.8052 0.0000 4.9332
Ga 1.8052 7.0082 4.3424
Ga 1.8052 4.3424 2.8582
Ga 1.8052 9.2756 2.0750
Ga 1.8052 0.5908 7.7915
Ca 0.0000 8.0684 6.7312
Ca 0.0000 6.7312 1.7980
Ca 0.0000 1.7980 3.1352
Ca 0.0000 3.1352 8.0684
Co 0.0000 1.1365 6.0697
Co 0.0000 6.0697 8.7299
Co 0.0000 8.7299 3.7967
Co 0.0000 3.7967 1.1365
Li 0.0000 4.9332 4.9332
Li 0.0000 0.0000 0.0000
```

formation enthalpy at 0 K	-297.4	meV/atom
volume	17.57	Å³ per atom
size of the total moment	0.000	μB per atom

# 4
First-principles (PBE) data for crystalline Ca2MgGaCo at its relaxed geometry, as listed in Alexandria via LeMat-Bulk.

Geometry as extended XYZ:
```
5
Lattice="-0.5044 -2.2105 -5.2131 -4.8093 -2.5953 1.5658 -2.3228 3.5354 -1.2744" Properties=species:S:1:pos:R:3 pbc="T T T"
Ca -0.2522 -1.1053 -2.6065
Ca -2.4047 -1.2977 0.7829
Co -1.1614 1.7677 -0.6372
Mg -3.8182 -0.6353 -2.4608
Ga 0.0000 0.0000 0.0000
```

formation enthalpy at 0 K	222.8	meV/atom
volume	28.56	Å³ per atom
size of the total moment	0.128	μB per atom

# 5
First-principles (PBE) data for crystalline CaMgGa2Co at its relaxed geometry, as listed in Alexandria via LeMat-Bulk.

Geometry as extended XYZ:
```
5
Lattice="-2.2892 -2.6141 3.0267 3.9331 -2.1034 1.1581 0.7456 3.2502 3.3711" Properties=species:S:1:pos:R:3 pbc="T T T"
Ca 1.1948 -0.7336 3.7779
Ga -1.1446 -1.3070 1.5133
Ga 1.9665 -1.0517 0.5790
Co 0.0000 0.0000 0.0000
Mg 0.3728 1.6251 1.6855
```

formation enthalpy at 0 K	-247.6	meV/atom
volume	20.14	Å³ per atom
size of the total moment	0.130	μB per atom

# 6
First-principles (PBE) data for crystalline Ca2GaCoN at its relaxed geometry, as listed in Alexandria via LeMat-Bulk.

Geometry as extended XYZ:
```
5
Lattice="5.0462 0.0000 0.0000 0.0000 5.0462 0.0000 0.0000 0.0000 3.5749" Properties=species:S:1:pos:R:3 pbc="T T T"
Ca 2.5231 0.0000 0.0000
Ca 0.0000 2.5231 0.0000
N 0.0000 0.0000 0.0000
Ga 2.5231 2.5231 1.7874
Co 0.0000 0.0000 1.7874
```

volume	18.21	Å³ per atom
size of the total moment	0.000	μB per atom
E_form (uncorrected)	-47.66	kJ/mol of atoms

# 7
First-principles (PBE) data for crystalline NaCa2GaCo at its relaxed geometry, as listed in Alexandria via LeMat-Bulk.

Geometry as extended XYZ:
```
5
Lattice="5.3787 0.0000 0.0000 0.0000 5.3787 0.0000 0.0000 0.0000 4.6837" Properties=species:S:1:pos:R:3 pbc="T T T"
Ga 0.0000 0.0000 2.3418
Ca 0.0000 2.6894 0.0000
Ca 2.6894 0.0000 0.0000
Na 2.6894 2.6894 2.3418
Co 0.0000 0.0000 0.0000
```

formation enthalpy at 0 K	-29.9	meV/atom
volume	27.10	Å³ per atom
size of the total moment	0.000	μB per atom

- volume of number 5 (CaMgGa2Co)?
  20.14 Å³ per atom